(1)
A relaxed RbBeN2 crystal, computed with PBE.

Calculated values
The formation energy (no corrections) is 1.054 eV per atom.

abc: 7.279 7.279 7.279
angles: 32.11 32.11 32.11
Positions (direct):
Rb (0.000, 0.000, 0.000)
Be (0.500, 0.500, 0.500)
N (0.425, 0.425, 0.425)
N (0.575, 0.575, 0.575)


(2)
A relaxed LaCeTmSc crystal, computed with PBE.

Calculated values
The calculation puts the formation energy from the elements at 0.131 eV per atom.

abc: 5.583 5.583 5.583
angles: 60.00 60.00 60.00
Positions (direct):
La (0.000, 0.000, 0.000)
Ce (0.500, 0.500, 0.500)
Tm (0.750, 0.750, 0.750)
Sc (0.250, 0.250, 0.250)


(3)
A relaxed GaSb2TeW crystal, computed with PBE.

Calculated values
The polymorph energy (0 for the lowest one) is 0.0000 eV per atom. The formation energy (no corrections) is 0.621 eV per atom.

abc: 5.263 5.263 5.473
angles: 90.00 90.00 90.00
Positions (direct):
Ga (0.000, 0.000, 0.000)
Sb (0.000, 0.500, 0.500)
Sb (0.500, 0.000, 0.500)
Te (0.500, 0.500, 0.000)
W (0.500, 0.500, 0.500)


(4)
A relaxed Zr2Te7Au2 crystal, computed with PBE.

Calculated values
The formation energy (no corrections) is -0.378 eV per atom.

abc: 7.141 7.141 7.881
angles: 97.03 97.03 119.47
Positions (direct):
Zr (0.201, 0.799, 0.000)
Zr (0.799, 0.201, 0.000)
Te (0.003, 0.411, 0.725)
Te (0.216, 0.216, 0.141)
Te (0.411, 0.003, 0.725)
Te (0.500, 0.500, 0.500)
Te (0.589, 0.997, 0.275)
Te (0.784, 0.784, 0.859)
Te (0.997, 0.589, 0.275)
Au (0.354, 0.354, 0.820)
Au (0.646, 0.646, 0.180)


(5)
A relaxed CaPm7Tm4 crystal, computed with PBE.

Calculated values
The calculation puts the formation energy from the elements at 0.023 eV per atom.

abc: 6.306 7.284 8.960
angles: 90.22 103.52 90.01
Positions (direct):
Ca (0.000, 0.000, 0.000)
Pm (0.000, 0.500, 0.000)
Pm (0.225, 0.000, 0.659)
Pm (0.284, 0.254, 0.340)
Pm (0.498, 0.740, 0.003)
Pm (0.502, 0.260, 0.997)
Pm (0.716, 0.746, 0.660)
Pm (0.775, 0.000, 0.341)
Tm (0.219, 0.500, 0.666)
Tm (0.280, 0.743, 0.337)
Tm (0.720, 0.257, 0.663)
Tm (0.781, 0.500, 0.334)


(6)
A relaxed Ce2PrRu crystal, computed with PBE.

Calculated values
The polymorph energy (0 for the lowest one) is 0.1187 eV per atom. The calculation puts the formation energy from the elements at -0.087 eV per atom.

abc: 9.382 9.382 9.382
angles: 23.71 23.71 23.71
Positions (direct):
Ce (0.225, 0.225, 0.225)
Ce (0.775, 0.775, 0.775)
Pr (0.000, 0.000, 0.000)
Ru (0.500, 0.500, 0.500)


(7)
A relaxed Tl2POs crystal, computed with PBE.

Calculated values
The polymorph energy (0 for the lowest one) is 0.8682 eV per atom. The calculation puts the formation energy from the elements at 1.026 eV per atom.

abc: 5.083 5.083 3.134
angles: 90.00 90.00 104.56
Positions (direct):
Tl (0.000, 0.500, 0.000)
Tl (0.500, 0.000, 0.000)
P (0.000, 0.000, 0.500)
Os (0.500, 0.500, 0.500)


(8)
A relaxed Y4TlCl crystal, computed with PBE.

Calculated values
The formation energy (no corrections) is 0.206 eV per atom.

abc: 6.431 6.431 6.431
angles: 60.00 60.00 60.00
Positions (direct):
Y (0.377, 0.377, 0.377)
Y (0.377, 0.377, 0.869)
Y (0.377, 0.869, 0.377)
Y (0.869, 0.377, 0.377)
Tl (0.750, 0.750, 0.750)
Cl (0.000, 0.000, 0.000)


(9)
A relaxed TaTl3I2F6 crystal, computed with PBE.

Calculated values
The formation energy (no corrections) is -2.181 eV per atom.

abc: 9.587 9.587 5.358
angles: 98.70 98.70 49.55
Positions (direct):
Ta (0.000, 0.000, 0.000)
Tl (0.000, 0.500, 0.000)
Tl (0.500, 0.000, 0.000)
Tl (0.500, 0.500, 0.500)
I (0.306, 0.306, 0.532)
I (0.694, 0.694, 0.468)
F (0.108, 0.108, 0.955)
F (0.150, 0.805, 0.749)
F (0.195, 0.850, 0.251)
F (0.805, 0.150, 0.749)
F (0.850, 0.195, 0.251)
F (0.892, 0.892, 0.045)


(10)
A relaxed Ba2UFeS5 crystal, computed with PBE.

Calculated values
The formation energy (no corrections) is -1.492 eV per atom.

abc: 9.104 9.104 12.953
angles: 90.00 90.00 153.84
Positions (direct):
Ba (0.118, 0.882, 0.500)
Ba (0.121, 0.879, 0.141)
Ba (0.879, 0.121, 0.641)
Ba (0.882, 0.118, 0.000)
U (0.193, 0.807, 0.828)
U (0.807, 0.193, 0.328)
Fe (0.437, 0.563, 0.245)
Fe (0.563, 0.437, 0.745)
S (0.043, 0.957, 0.828)
S (0.303, 0.697, 0.467)
S (0.310, 0.690, 0.190)
S (0.341, 0.659, 0.822)
S (0.497, 0.503, 0.090)
S (0.503, 0.497, 0.590)
S (0.659, 0.341, 0.322)
S (0.690, 0.310, 0.690)
S (0.697, 0.303, 0.967)
S (0.957, 0.043, 0.328)


(11)
A relaxed TeOsCl2 crystal, computed with PBE.

Calculated values
The polymorph energy (0 for the lowest one) is 1.4042 eV per atom. The formation energy (no corrections) is 1.360 eV per atom.

abc: 4.868 4.868 4.868
angles: 60.00 60.00 60.00
Positions (direct):
Te (0.000, 0.000, 0.000)
Os (0.500, 0.500, 0.500)
Cl (0.250, 0.250, 0.250)
Cl (0.750, 0.750, 0.750)


(12)
A relaxed Pm2EuBi crystal, computed with PBE.

Calculated values
The polymorph energy (0 for the lowest one) is 0.4438 eV per atom. The calculation puts the formation energy from the elements at 0.044 eV per atom.

abc: 12.764 12.764 12.764
angles: 16.35 16.35 16.35
Positions (direct):
Pm (0.085, 0.085, 0.085)
Pm (0.915, 0.915, 0.915)
Eu (0.500, 0.500, 0.500)
Bi (0.000, 0.000, 0.000)


(13)
A relaxed Sc4CdFe crystal, computed with PBE.

Calculated values
The polymorph energy (0 for the lowest one) is 0.0000 eV per atom. The calculation puts the formation energy from the elements at -0.172 eV per atom.

abc: 7.186 7.186 5.615
angles: 99.62 99.62 110.18
Positions (direct):
Sc (0.060, 0.731, 0.951)
Sc (0.193, 0.356, 0.615)
Sc (0.269, 0.940, 0.549)
Sc (0.356, 0.193, 0.115)
Sc (0.644, 0.807, 0.885)
Sc (0.731, 0.060, 0.451)
Sc (0.807, 0.644, 0.385)
Sc (0.940, 0.269, 0.049)
Cd (0.374, 0.626, 0.250)
Cd (0.626, 0.374, 0.750)
Fe (0.001, 0.999, 0.750)
Fe (0.999, 0.001, 0.250)


(14)
A relaxed CuTcAsSe2 crystal, computed with PBE.

Calculated values
The polymorph energy (0 for the lowest one) is 0.0000 eV per atom. The formation energy (no corrections) is 0.686 eV per atom.

abc: 4.899 4.899 4.773
angles: 90.00 90.00 90.00
Positions (direct):
Cu (0.000, 0.000, 0.000)
Tc (0.500, 0.500, 0.500)
As (0.500, 0.500, 0.000)
Se (0.000, 0.500, 0.500)
Se (0.500, 0.000, 0.500)


(15)
A relaxed TbMg3Zn3 crystal, computed with PBE.

Calculated values
The calculation puts the formation energy from the elements at -0.160 eV per atom.

abc: 8.360 4.694 8.367
angles: 90.00 119.96 90.00
Positions (direct):
Tb (0.167, 0.250, 0.333)
Tb (0.833, 0.750, 0.667)
Mg (0.254, 0.250, 0.984)
Mg (0.270, 0.750, 0.754)
Mg (0.484, 0.750, 0.230)
Mg (0.516, 0.250, 0.770)
Mg (0.730, 0.250, 0.246)
Mg (0.746, 0.750, 0.016)
Zn (0.023, 0.250, 0.604)
Zn (0.104, 0.750, 0.080)
Zn (0.419, 0.750, 0.523)
Zn (0.581, 0.250, 0.477)
Zn (0.896, 0.250, 0.920)
Zn (0.977, 0.750, 0.396)


(16)
A relaxed GaFeTe2 crystal, computed with PBE.

Calculated values
The formation energy (no corrections) is 0.095 eV per atom.

abc: 7.319 7.319 7.319
angles: 131.11 131.11 71.64
Positions (direct):
Ga (0.000, 0.000, 0.000)
Ga (0.750, 0.250, 0.500)
Fe (0.250, 0.750, 0.500)
Fe (0.500, 0.500, 0.000)
Te (0.170, 0.625, 0.045)
Te (0.375, 0.420, 0.545)
Te (0.580, 0.125, 0.955)
Te (0.875, 0.830, 0.455)


(17)
A relaxed Be2InSb crystal, computed with PBE.

Calculated values
The polymorph energy (0 for the lowest one) is 0.0730 eV per atom. The formation energy (no corrections) is 0.341 eV per atom.

abc: 4.028 4.505 4.505
angles: 67.41 90.00 90.00
Positions (direct):
Be (0.000, 0.000, 0.000)
Be (0.500, 0.130, 0.130)
In (0.000, 0.361, 0.361)
Sb (0.500, 0.789, 0.789)


(18)
A relaxed BaAsSe2 crystal, computed with PBE.

Calculated values
The formation energy (no corrections) is -0.819 eV per atom.

abc: 4.440 4.440 6.481
angles: 90.00 90.00 90.00
Positions (direct):
Ba (0.000, 0.000, 0.000)
As (0.500, 0.500, 0.470)
Se (0.000, 0.000, 0.501)
Se (0.500, 0.500, 0.096)


(19)
A relaxed Cd11SnHg17 crystal, computed with PBE.

Calculated values
The calculation puts the formation energy from the elements at 0.031 eV per atom.

abc: 9.888 9.888 9.807
angles: 110.93 110.93 106.91
Positions (direct):
Cd (0.000, 0.000, 0.000)
Cd (0.022, 0.818, 0.197)
Cd (0.220, 0.418, 0.783)
Cd (0.238, 0.620, 0.607)
Cd (0.409, 0.606, 0.391)
Cd (0.418, 0.220, 0.783)
Cd (0.424, 0.810, 0.997)
Cd (0.606, 0.409, 0.391)
Cd (0.620, 0.238, 0.607)
Cd (0.810, 0.424, 0.997)
Cd (0.818, 0.022, 0.197)
Sn (0.805, 0.805, 0.598)
Hg (0.043, 0.043, 0.519)
Hg (0.045, 0.336, 0.223)
Hg (0.187, 0.610, 0.079)
Hg (0.192, 0.908, 0.795)
Hg (0.274, 0.274, 0.033)
Hg (0.336, 0.045, 0.223)
Hg (0.341, 0.897, 0.499)
Hg (0.373, 0.373, 0.538)
Hg (0.589, 0.589, 0.176)
Hg (0.610, 0.187, 0.079)
Hg (0.614, 0.891, 0.792)
Hg (0.629, 0.944, 0.379)
Hg (0.641, 0.641, 0.916)
Hg (0.891, 0.614, 0.792)
Hg (0.897, 0.341, 0.499)
Hg (0.908, 0.192, 0.795)
Hg (0.944, 0.629, 0.379)


(20)
A relaxed CsNiSb2I crystal, computed with PBE.

Calculated values
The formation energy (no corrections) is -0.151 eV per atom.

abc: 4.939 4.939 9.413
angles: 90.00 90.00 90.00
Positions (direct):
Cs (0.000, 0.000, 0.000)
Ni (0.500, 0.500, 0.500)
Sb (0.000, 0.500, 0.500)
Sb (0.500, 0.000, 0.500)
I (0.500, 0.500, 0.000)


Number 1: magnetic moment 0.75 μB/atom. Number 2: magnetic moment 0.11 μB/atom. Number 3: magnetic moment 0.00 μB/atom. Number 4: magnetic moment 0.00 μB/atom. Number 5: magnetic moment 0.00 μB/atom. Number 6: magnetic moment 0.17 μB/atom. Number 7: magnetic moment 0.00 μB/atom. Number 8: magnetic moment 0.00 μB/atom. Number 9: magnetic moment 0.00 μB/atom. Number 10: magnetic moment 0.56 μB/atom. Number 11: magnetic moment 0.53 μB/atom. Number 12: magnetic moment 1.87 μB/atom. Number 13: magnetic moment 0.00 μB/atom. Number 14: magnetic moment 0.00 μB/atom. Number 15: magnetic moment 0.00 μB/atom. Number 16: magnetic moment 0.00 μB/atom. Number 17: magnetic moment 0.00 μB/atom. Number 18: magnetic moment 0.00 μB/atom. Number 19: magnetic moment 0.00 μB/atom. Number 20: magnetic moment 0.00 μB/atom.